1.
First-principles (PBE) data for a relaxed structure of ErAsIr, as listed in Alexandria.

Values from the calculation:
Crystal system: hexagonal
Formation energy in eV per atom: -0.93
Calculated total energy in eV per atom: -6.958
M_tot in μB per formula unit: 0.00

Cell: 3.654 4.291 4.291 Å, 120.00 90.00 90.00°
Element x y z (fractional)
As  0.167  0.000  0.000
Ir  0.167  0.333  0.667
Er  0.667  0.667  0.333

2.
First-principles (PBE) data for a relaxed structure of NaSbPd4, as listed in Alexandria.

Values from the calculation:
Crystal system: orthorhombic
Raw formation energy in meV per atom: -228
Calculated total energy in eV per atom: -4.596
M_tot in μB per formula unit: 0.00
Offset from the most stable computed form in eV/atom: 0.0000

Cell: 4.083 7.024 7.880 Å, 90.00 90.00 90.00°
Element x y z (fractional)
Na  0.000  0.664  0.750
Na  0.000  0.336  0.250
Sb  0.000  0.241  0.750
Sb  0.000  0.759  0.250
Pd  0.000  0.000  0.500
Pd  0.000  0.000  0.000
Pd  0.500  0.960  0.750
Pd  0.500  0.040  0.250
Pd  0.500  0.698  0.041
Pd  0.500  0.302  0.959
Pd  0.500  0.698  0.459
Pd  0.500  0.302  0.541

3.
First-principles (PBE) data for a relaxed structure of TaTl2Fe, as listed in Alexandria.

Values from the calculation:
Crystal system: tetragonal
Formation energy in eV per atom: 0.71
Calculated total energy in eV per atom: -5.557
M_tot in μB per formula unit: 2.68
Offset from the most stable computed form in eV/atom: 0.3463

Cell: 4.234 4.280 4.280 Å, 90.00 90.00 90.00°
Element x y z (fractional)
Fe  0.500  0.500  0.000
Ta  0.500  0.000  0.500
Tl  0.000  0.000  0.000
Tl  0.000  0.500  0.500

4.
First-principles (PBE) data for a relaxed structure of BaHf3Rh, as listed in Alexandria.

Values from the calculation:
Crystal system: cubic
Formation energy in eV per atom: 0.23
Calculated total energy in eV per atom: -7.599
M_tot in μB per formula unit: 0.00
Offset from the most stable computed form in eV/atom: 0.0000

Cell: 5.157 5.157 5.157 Å, 90.00 90.00 90.00°
Element x y z (fractional)
Rh  0.000  0.000  0.000
Hf  0.000  0.500  0.000
Hf  0.000  0.000  0.500
Hf  0.500  0.000  0.000
Ba  0.500  0.500  0.500

5.
First-principles (PBE) data for a relaxed structure of UInPb, as listed in Alexandria.

Values from the calculation:
Crystal system: trigonal
Formation energy in eV per atom: 0.24
Calculated total energy in eV per atom: -5.670
M_tot in μB per formula unit: 2.25
Offset from the most stable computed form in eV/atom: 0.0993

Cell: 3.245 3.245 8.445 Å, 90.00 90.00 120.00°
Element x y z (fractional)
Pb  0.333  0.667  0.668
U  0.667  0.333  0.328
In  0.000  0.000  0.004

6.
First-principles (PBE) data for a relaxed structure of Y2TiAlGa, as listed in Alexandria.

Values from the calculation:
Crystal system: tetragonal
Formation energy in eV per atom: 0.38
Calculated total energy in eV per atom: -5.141
M_tot in μB per formula unit: 0.00
Offset from the most stable computed form in eV/atom: 0.0000

Cell: 5.389 4.818 5.389 Å, 90.00 90.00 90.00°
Element x y z (fractional)
Y  0.000  0.000  0.500
Y  0.500  0.000  0.000
Al  0.000  0.000  0.000
Ga  0.500  0.500  0.500
Ti  0.000  0.500  0.000

7.
First-principles (PBE) data for a relaxed structure of TlPH, as listed in Alexandria.

Values from the calculation:
Crystal system: monoclinic
Calculated total energy in eV per atom: -3.589
M_tot in μB per formula unit: 0.00
Offset from the most stable computed form in eV/atom: 0.0742

Cell: 4.554 4.692 6.281 Å, 90.00 106.32 90.00°
Element x y z (fractional)
P  0.417  0.250  0.469
P  0.583  0.750  0.531
Tl  0.035  0.250  0.789
Tl  0.965  0.750  0.211
H  0.498  0.250  0.263
H  0.502  0.750  0.737

8.
First-principles (PBE) data for a relaxed structure of AgAuN2O, as listed in Alexandria.

Values from the calculation:
Crystal system: tetragonal
Raw formation energy in meV per atom: 2036
Calculated total energy in eV per atom: -3.512
M_tot in μB per formula unit: 3.56

Cell: 4.111 4.212 4.111 Å, 90.00 90.00 90.00°
Element x y z (fractional)
Au  0.500  0.500  0.500
O  0.000  0.500  0.000
Ag  0.000  0.000  0.000
N  0.000  0.000  0.500
N  0.500  0.000  0.000

9.
First-principles (PBE) data for a relaxed structure of KZr3Ag, as listed in Alexandria.

Values from the calculation:
Crystal system: cubic
Formation energy in eV per atom: 1.97
Calculated total energy in eV per atom: -3.953
M_tot in μB per formula unit: 0.88
Offset from the most stable computed form in eV/atom: 0.8686

Cell: 4.914 4.914 4.914 Å, 90.00 90.00 90.00°
Element x y z (fractional)
K  0.000  0.000  0.000
Zr  0.000  0.500  0.000
Zr  0.000  0.000  0.500
Zr  0.500  0.000  0.000
Ag  0.500  0.500  0.500

10.
First-principles (PBE) data for a relaxed structure of MnCu2Re, as listed in Alexandria.

Values from the calculation:
Crystal system: trigonal
Formation energy in eV per atom: 0.34
Calculated total energy in eV per atom: -7.115
M_tot in μB per formula unit: 3.67
Offset from the most stable computed form in eV/atom: 0.1483

Cell: 8.757 8.757 8.757 Å, 17.61 17.61 17.61°
Element x y z (fractional)
Cu  0.998  0.998  0.998
Cu  0.502  0.502  0.502
Mn  0.250  0.250  0.250
Re  0.750  0.750  0.750

11.
First-principles (PBE) data for a relaxed structure of PmNd3Er12, as listed in Alexandria.

Values from the calculation:
Crystal system: tetragonal
Formation energy in eV per atom: 0.02
Calculated total energy in eV per atom: -4.589
M_tot in μB per formula unit: 0.00

Cell: 5.016 5.016 20.086 Å, 90.00 90.00 90.00°
Element x y z (fractional)
Pm  0.000  0.000  0.000
Nd  0.000  0.000  0.250
Nd  0.000  0.000  0.500
Nd  0.000  0.000  0.750
Er  0.500  0.500  0.000
Er  0.500  0.500  0.250
Er  0.500  0.500  0.500
Er  0.500  0.500  0.750
Er  0.500  0.000  0.125
Er  0.500  0.000  0.375
Er  0.500  0.000  0.625
Er  0.500  0.000  0.875
Er  0.000  0.500  0.125
Er  0.000  0.500  0.375
Er  0.000  0.500  0.625
Er  0.000  0.500  0.875

12.
First-principles (PBE) data for a relaxed structure of CsBiBr, as listed in Alexandria.

Values from the calculation:
Crystal system: triclinic
Raw formation energy in meV per atom: -976
Calculated total energy in eV per atom: -3.112
M_tot in μB per formula unit: 0.00
Offset from the most stable computed form in eV/atom: 0.0553

Cell: 4.559 4.999 12.460 Å, 91.65 90.06 90.09°
Element x y z (fractional)
Cs  0.639  0.710  0.994
Cs  0.635  0.190  0.644
Bi  0.134  0.328  0.325
Bi  0.636  0.718  0.352
Br  0.136  0.697  0.754
Br  0.139  0.217  0.084

13.
First-principles (PBE) data for a relaxed structure of LiLa2Hg, as listed in Alexandria.

Values from the calculation:
Crystal system: monoclinic
Formation energy in eV per atom: -0.04
Calculated total energy in eV per atom: -3.053
M_tot in μB per formula unit: 0.00

Cell: 9.374 9.374 9.379 Å, 156.93 32.86 156.92°
Element x y z (fractional)
Li  0.000  0.000  0.000
La  0.677  0.000  0.677
La  0.323  0.000  0.323
Hg  0.500  0.000  0.500

14.
First-principles (PBE) data for a relaxed structure of NdSmDy4, as listed in Alexandria.

Values from the calculation:
Crystal system: monoclinic
Formation energy in eV per atom: 0.15
Calculated total energy in eV per atom: -4.497
M_tot in μB per formula unit: 0.00
Offset from the most stable computed form in eV/atom: 0.1346

Cell: 6.528 8.915 8.616 Å, 112.03 100.63 112.07°
Element x y z (fractional)
Nd  0.255  0.005  0.010
Nd  0.745  0.995  0.990
Sm  0.336  0.586  0.171
Sm  0.664  0.414  0.829
Dy  0.053  0.170  0.742
Dy  0.751  0.712  0.605
Dy  0.189  0.572  0.742
Dy  0.355  0.893  0.605
Dy  0.645  0.107  0.395
Dy  0.811  0.428  0.258
Dy  0.249  0.288  0.395
Dy  0.947  0.830  0.258

no.,Fermi-level density of states (states/eV/cell)
1,1.68
2,4.95
3,2.78
4,7.55
5,5.56
6,5.92
7,0.60
8,1.66
9,8.95
10,4.99
11,22.72
12,1.19
13,4.31
14,20.07